# 1
This record from Alexandria via LeMat-Bulk describes a geometry-optimized Ac3La2Er structure. The functional is PBE.

a = 7.1993 Å, b = 9.5703 Å, c = 7.1993 Å
α = 82.21°, β = 83.63°, γ = 97.79°
Last column: nearest neighbours and their distance in Å.
Positions (direct):
Ac 0.6954 0.5163 0.1383  2 Er 3.44-3.65, 3 Ac 3.63-3.82, 1 La 3.80
Ac 0.5690 0.2500 0.5690  1 Er 3.46, 4 Ac 3.68-3.82
Ac 0.3046 0.4837 0.8617  2 Er 3.44-3.65, 3 Ac 3.63-3.82, 1 La 3.80
Ac 0.1383 0.9837 0.6954  2 Er 3.44-3.65, 3 Ac 3.63-3.82, 1 La 3.80
Ac 0.8617 0.0163 0.3046  2 Er 3.44-3.65, 3 Ac 3.63-3.82, 1 La 3.80
Ac 0.4310 0.7500 0.4310  1 Er 3.46, 4 Ac 3.68-3.82
La 0.6153 0.8821 0.8824  1 La 3.48, 2 Er 3.80-3.81, 2 Ac 3.80-3.88
La 0.8824 0.6179 0.6153  1 La 3.48, 2 Er 3.80-3.81, 2 Ac 3.80-3.88
La 0.3847 0.1179 0.1176  1 La 3.48, 2 Er 3.80-3.81, 2 Ac 3.80-3.88
La 0.1176 0.3821 0.3847  1 La 3.48, 2 Er 3.80-3.81, 2 Ac 3.80-3.88
Er 0.1086 0.7500 0.1086  5 Ac 3.44-3.65, 4 La 3.80-3.81
Er 0.8914 0.2500 0.8914  5 Ac 3.44-3.65, 4 La 3.80-3.81

Results
* total magnetic moment: 0.00 μB per formula unit
* SG: C2/c, No. 15
* Fermi-level density of states: 8.86 states/eV/f.u.
* E_form: 107 meV per atom


# 2
This record from Alexandria via LeMat-Bulk describes a geometry-optimized Nd2In9Pb structure. The functional is PBE.

a = 4.7408 Å, b = 4.7408 Å, c = 14.4125 Å
α = 90.00°, β = 90.00°, γ = 90.00°
Last column: nearest neighbours and their distance in Å.
Positions (direct):
In 0.0000 0.5000 0.5000  8 In 3.33-3.35, 4 Nd 3.34
In 0.5000 0.0000 0.8301  8 In 3.35-3.41, 2 Nd 3.38, 2 Pb 3.41
In 0.5000 0.5000 0.6623  8 In 3.33-3.39, 4 Nd 3.35
In 0.5000 0.5000 0.3377  8 In 3.33-3.39, 4 Nd 3.35
In 0.5000 0.5000 0.0000  4 Pb 3.35, 8 In 3.41
In 0.5000 0.0000 0.5000  8 In 3.33-3.35, 4 Nd 3.34
In 0.5000 0.0000 0.1699  8 In 3.35-3.41, 2 Nd 3.38, 2 Pb 3.41
In 0.0000 0.5000 0.1699  8 In 3.35-3.41, 2 Nd 3.38, 2 Pb 3.41
In 0.0000 0.5000 0.8301  8 In 3.35-3.41, 2 Nd 3.38, 2 Pb 3.41
Pb 0.0000 0.0000 0.0000  12 In 3.35-3.41
Nd 0.0000 0.0000 0.3370  12 In 3.34-3.38
Nd 0.0000 0.0000 0.6630  12 In 3.34-3.38

Results
* total magnetic moment: 0.00 μB per formula unit
* SG: P4/mmm, No. 123
* Fermi-level density of states: 6.84 states/eV/f.u.
* E_form: -265 meV per atom